[1]
Density functional theory data (PBE-GGA) for a relaxed H3Au5Br12 crystal.

a b c (Å): 14.070 14.070 14.070
angles (deg): 109.47 109.47 109.47
Element x y z (fractional)
1 H 0.750 0.375 0.125
2 H 0.875 0.750 0.125
3 H 0.375 0.750 0.625
4 H 0.250 0.125 0.375
5 H 0.875 0.125 0.250
6 H 0.375 0.625 0.250
7 H 0.625 0.375 0.750
8 H 0.125 0.875 0.750
9 H 0.750 0.875 0.625
10 H 0.625 0.250 0.375
11 H 0.125 0.250 0.875
12 H 0.250 0.625 0.875
13 Au 0.125 0.375 0.250
14 Au 0.000 0.500 0.000
15 Au 0.000 0.000 0.000
16 Au 0.375 0.250 0.125
17 Au 0.500 0.000 0.500
18 Au 0.500 0.500 0.000
19 Au 0.125 0.750 0.375
20 Au 0.750 0.125 0.875
21 Au 0.750 0.625 0.375
22 Au 0.375 0.125 0.750
23 Au 0.625 0.875 0.250
24 Au 0.500 0.500 0.500
25 Au 0.500 0.000 0.000
26 Au 0.000 0.000 0.500
27 Au 0.250 0.375 0.625
28 Au 0.250 0.875 0.125
29 Au 0.000 0.500 0.500
30 Au 0.875 0.250 0.625
31 Au 0.625 0.750 0.875
32 Au 0.875 0.625 0.750
33 Br 0.646 0.180 0.007
34 Br 0.361 0.507 0.326
35 Br 0.993 0.320 0.354
36 Br 0.507 0.146 0.180
37 Br 0.466 0.646 0.639
38 Br 0.993 0.674 0.139
39 Br 0.361 0.854 0.534
40 Br 0.174 0.034 0.180
41 Br 0.674 0.993 0.639
42 Br 0.646 0.466 0.139
43 Br 0.854 0.493 0.320
44 Br 0.861 0.826 0.007
45 Br 0.180 0.646 0.507
46 Br 0.320 0.326 0.966
47 Br 0.966 0.826 0.320
48 Br 0.534 0.180 0.674
49 Br 0.966 0.139 0.146
50 Br 0.493 0.639 0.174
51 Br 0.861 0.034 0.354
52 Br 0.180 0.534 0.174
53 Br 0.320 0.993 0.854
54 Br 0.674 0.680 0.534
55 Br 0.826 0.861 0.507
56 Br 0.854 0.361 0.034
57 Br 0.326 0.320 0.466
58 Br 0.174 0.139 0.493
59 Br 0.146 0.639 0.966
60 Br 0.139 0.966 0.646
61 Br 0.680 0.007 0.146
62 Br 0.820 0.466 0.826
63 Br 0.507 0.361 0.826
64 Br 0.466 0.820 0.326
65 Br 0.034 0.861 0.854
66 Br 0.034 0.174 0.680
67 Br 0.820 0.354 0.493
68 Br 0.139 0.174 0.993
69 Br 0.680 0.674 0.034
70 Br 0.326 0.007 0.361
71 Br 0.354 0.534 0.861
72 Br 0.146 0.507 0.680
73 Br 0.826 0.966 0.820
74 Br 0.639 0.146 0.466
75 Br 0.493 0.854 0.820
76 Br 0.007 0.326 0.861
77 Br 0.534 0.354 0.361
78 Br 0.007 0.680 0.646
79 Br 0.639 0.493 0.674
80 Br 0.354 0.820 0.993

Calculated values
* spin magnetization: 0.00 μB/cell
* E: -2.08 eV per atom
* N(E_F): 8.04 states/eV/f.u.

[2]
Density functional theory data (PBE-GGA) for a relaxed ThZnRe crystal.

a b c (Å): 4.577 4.585 6.584
angles (deg): 89.85 90.00 119.94
Element x y z (fractional)
1 Th 0.167 0.333 0.876
2 Th 0.833 0.667 0.124
3 Re 0.166 0.332 0.450
4 Re 0.834 0.668 0.550
5 Zn 0.500 0.000 0.314
6 Zn 0.500 0.000 0.686

Calculated values
* spin magnetization: 0.00 μB/cell
* energy relative to the elements: 0.21 eV per atom
* E: -6.84 eV per atom
* N(E_F): 1.94 states/eV/f.u.

[3]
Density functional theory data (PBE-GGA) for a relaxed TbPr3Ho3 crystal.

a b c (Å): 5.800 9.685 9.685
angles (deg): 120.00 90.00 90.00
Element x y z (fractional)
1 Tb 0.750 0.333 0.667
2 Tb 0.250 0.667 0.333
3 Pr 0.750 0.756 0.806
4 Pr 0.750 0.051 0.244
5 Pr 0.750 0.194 0.949
6 Pr 0.250 0.244 0.194
7 Pr 0.250 0.949 0.756
8 Pr 0.250 0.806 0.051
9 Ho 0.250 0.519 0.615
10 Ho 0.250 0.096 0.480
11 Ho 0.250 0.385 0.904
12 Ho 0.750 0.481 0.385
13 Ho 0.750 0.904 0.520
14 Ho 0.750 0.615 0.096

Calculated values
* spin magnetization: 0.00 μB/cell
* energy relative to the elements: 0.03 eV per atom
* E: -4.65 eV per atom
* N(E_F): 11.91 states/eV/f.u.
* E above lowest polymorph: 0.0 meV/atom

[4]
Density functional theory data (PBE-GGA) for a relaxed Pu3Tc2Ag crystal.

a b c (Å): 3.247 3.247 11.796
angles (deg): 90.00 90.00 90.00
Last column: magnetic moment on the atom in μB.
Element x y z (fractional)
1 Pu 0.000 0.000 0.000  4.72
2 Pu 0.000 0.000 0.697  5.09
3 Pu 0.000 0.000 0.303  5.09
4 Tc 0.500 0.500 0.846  -0.94
5 Tc 0.500 0.500 0.154  -0.94
6 Ag 0.500 0.500 0.500  0.03

Calculated values
* spin magnetization: 13.59 μB/cell
* energy relative to the elements: 0.03 eV per atom
* E: -11.07 eV per atom
* N(E_F): 15.13 states/eV/f.u.

[5]
Density functional theory data (PBE-GGA) for a relaxed MgIn2Ir crystal.

a b c (Å): 5.051 5.051 5.051
angles (deg): 129.64 129.63 73.99
Element x y z (fractional)
1 In 0.000 0.000 0.000
2 In 0.500 0.500 0.000
3 Ir 0.750 0.250 0.500
4 Mg 0.250 0.750 0.500

Calculated values
* spin magnetization: 0.00 μB/cell
* energy relative to the elements: -0.12 eV per atom
* E: -4.11 eV per atom
* N(E_F): 1.21 states/eV/f.u.

[6]
Density functional theory data (PBE-GGA) for a relaxed Ba2TaMoC crystal.

a b c (Å): 6.439 4.682 6.439
angles (deg): 90.00 90.00 90.00
Last column: magnetic moment on the atom in μB.
Element x y z (fractional)
1 C 0.500 0.500 0.500  0.99
2 Mo 0.000 0.500 0.000  -1.06
3 Ba 0.000 0.000 0.500  0.03
4 Ba 0.500 0.000 0.000  0.03
5 Ta 0.000 0.000 0.000  0.47

Calculated values
* spin magnetization: 1.47 μB/cell
* energy relative to the elements: 2.15 eV per atom
* E: -5.00 eV per atom
* N(E_F): 4.45 states/eV/f.u.

[7]
Density functional theory data (PBE-GGA) for a relaxed K2CrSn crystal.

a b c (Å): 12.697 12.697 9.351
angles (deg): 47.24 47.24 90.00
Last column: magnetic moment on the atom in μB.
Element x y z (fractional)
1 Cr 0.500 0.500 0.000  3.85
2 Cr 0.250 0.750 0.500  3.85
3 K 0.446 0.125 0.250  0.01
4 K 0.304 0.625 0.250  0.01
5 K 0.375 0.554 0.750  0.01
6 K 0.875 0.696 0.750  0.01
7 Sn 0.000 0.000 0.000  -0.23
8 Sn 0.750 0.250 0.500  -0.23

Calculated values
* spin magnetization: 8.00 μB/cell
* energy relative to the elements: 0.44 eV per atom
* E: -3.52 eV per atom
* N(E_F): 2.02 states/eV/f.u.

[8]
Density functional theory data (PBE-GGA) for a relaxed PmDyAg4 crystal.

a b c (Å): 5.346 5.352 5.399
angles (deg): 60.29 90.04 90.09
Element x y z (fractional)
1 Pm 0.001 0.502 0.495
2 Dy 0.501 0.002 0.495
3 Ag 0.501 0.675 0.148
4 Ag 0.501 0.328 0.842
5 Ag 0.001 0.171 0.158
6 Ag 0.001 0.833 0.833

Calculated values
* spin magnetization: 0.00 μB/cell
* energy relative to the elements: -0.28 eV per atom
* E: -3.74 eV per atom
* N(E_F): 2.99 states/eV/f.u.
* E above lowest polymorph: 0.8 meV/atom

[9]
Density functional theory data (PBE-GGA) for a relaxed FeCoSe4 crystal.

a b c (Å): 5.811 5.815 5.804
angles (deg): 90.00 90.12 90.00
Last column: magnetic moment on the atom in μB.
Element x y z (fractional)
1 Fe 0.500 0.000 0.500  0.21
2 Fe 0.000 0.500 0.500  0.21
3 Co 0.000 0.000 0.000  0.54
4 Co 0.500 0.500 0.000  0.54
5 Se 0.876 0.625 0.129  0.01
6 Se 0.624 0.125 0.871  0.01
7 Se 0.372 0.372 0.377  0.00
8 Se 0.128 0.872 0.623  0.00
9 Se 0.124 0.375 0.871  0.01
10 Se 0.376 0.875 0.129  0.01
11 Se 0.628 0.628 0.623  0.00
12 Se 0.872 0.128 0.377  0.00

Calculated values
* spin magnetization: 1.52 μB/cell
* E: -5.21 eV per atom
* N(E_F): 3.07 states/eV/f.u.
* E above lowest polymorph: 0.0 meV/atom
* raw formation energy: -296.5 meV per atom

[10]
Density functional theory data (PBE-GGA) for a relaxed ZrOsPt2 crystal.

a b c (Å): 4.970 4.970 4.735
angles (deg): 78.80 78.80 35.54
Element x y z (fractional)
1 Os 0.250 0.250 0.250
2 Pt 0.993 0.993 0.013
3 Pt 0.507 0.507 0.487
4 Zr 0.750 0.750 0.750

Calculated values
* spin magnetization: 0.00 μB/cell
* energy relative to the elements: -0.33 eV per atom
* E: -8.30 eV per atom
* N(E_F): 3.37 states/eV/f.u.

[11]
Density functional theory data (PBE-GGA) for a relaxed KCdGaAg2 crystal.

a b c (Å): 5.116 5.116 5.405
angles (deg): 90.00 90.00 90.00
Element x y z (fractional)
1 K 0.500 0.500 0.500
2 Ga 0.000 0.000 0.000
3 Ag 0.000 0.500 0.000
4 Ag 0.500 0.000 0.000
5 Cd 0.000 0.000 0.500

Calculated values
* spin magnetization: 0.00 μB/cell
* energy relative to the elements: 0.07 eV per atom
* E: -2.08 eV per atom
* N(E_F): 1.77 states/eV/f.u.

[12]
Density functional theory data (PBE-GGA) for a relaxed ZnMo2Se crystal.

a b c (Å): 8.516 8.516 8.516
angles (deg): 20.10 20.10 20.10
Element x y z (fractional)
1 Mo 0.995 0.995 0.995
2 Mo 0.505 0.505 0.505
3 Se 0.250 0.250 0.250
4 Zn 0.750 0.750 0.750

Calculated values
* spin magnetization: 0.00 μB/cell
* E: -6.35 eV per atom
* N(E_F): 2.46 states/eV/f.u.
* E above lowest polymorph: 154.7 meV/atom
* raw formation energy: 255.3 meV per atom

[13]
Density functional theory data (PBE-GGA) for a relaxed ZnBi2Pb crystal.

a b c (Å): 4.513 5.051 5.051
angles (deg): 90.00 90.00 90.00
Element x y z (fractional)
1 Pb 0.500 0.500 0.500
2 Zn 0.500 0.000 0.000
3 Bi 0.000 0.000 0.500
4 Bi 0.000 0.500 0.000

Calculated values
* spin magnetization: 0.00 μB/cell
* energy relative to the elements: 0.16 eV per atom
* E: -3.02 eV per atom
* N(E_F): 2.18 states/eV/f.u.

[14]
Density functional theory data (PBE-GGA) for a relaxed MnSCl3 crystal.

a b c (Å): 4.960 4.960 4.960
angles (deg): 90.00 90.00 90.00
Last column: magnetic moment on the atom in μB.
Element x y z (fractional)
1 S 0.000 0.000 0.000  -0.07
2 Mn 0.500 0.500 0.500  4.84
3 Cl 0.000 0.500 0.000  0.03
4 Cl 0.000 0.000 0.500  0.02
5 Cl 0.500 0.000 0.000  0.03

Calculated values
* spin magnetization: 5.60 μB/cell
* E: -3.42 eV per atom
* N(E_F): 3.19 states/eV/f.u.
* E above lowest polymorph: 23.7 meV/atom
* raw formation energy: 344.3 meV per atom

[15]
Density functional theory data (PBE-GGA) for a relaxed RbCuBi3 crystal.

a b c (Å): 6.167 6.167 6.167
angles (deg): 90.00 90.00 90.00
Element x y z (fractional)
1 Cu 0.500 0.500 0.500
2 Bi 0.000 0.500 0.000
3 Bi 0.000 0.000 0.500
4 Bi 0.500 0.000 0.000
5 Rb 0.000 0.000 0.000

Calculated values
* spin magnetization: 0.00 μB/cell
* energy relative to the elements: 1.63 eV per atom
* E: -1.71 eV per atom
* N(E_F): 12.25 states/eV/f.u.
* E above lowest polymorph: 1525.3 meV/atom

[16]
Density functional theory data (PBE-GGA) for a relaxed AcSmScSn crystal.

a b c (Å): 5.472 5.472 5.472
angles (deg): 60.00 60.00 60.00
Element x y z (fractional)
1 Sc 0.500 0.500 0.500
2 Ac 0.750 0.750 0.750
3 Sn 0.250 0.250 0.250
4 Sm 0.000 0.000 0.000

Calculated values
* spin magnetization: 0.00 μB/cell
* energy relative to the elements: -0.16 eV per atom
* E: -4.95 eV per atom
* N(E_F): 6.32 states/eV/f.u.

[17]
Density functional theory data (PBE-GGA) for a relaxed KTa3Nb crystal.

a b c (Å): 5.053 5.053 5.053
angles (deg): 90.00 90.00 90.00
Element x y z (fractional)
1 Nb 0.000 0.000 0.000
2 K 0.500 0.500 0.500
3 Ta 0.000 0.500 0.000
4 Ta 0.000 0.000 0.500
5 Ta 0.500 0.000 0.000

Calculated values
* spin magnetization: 0.00 μB/cell
* energy relative to the elements: 1.74 eV per atom
* E: -7.60 eV per atom
* N(E_F): 5.47 states/eV/f.u.
* E above lowest polymorph: 0.0 meV/atom

[18]
Density functional theory data (PBE-GGA) for a relaxed SrSc2PbO crystal.

a b c (Å): 4.584 4.584 5.104
angles (deg): 90.00 90.00 90.00
Element x y z (fractional)
1 Pb 0.500 0.500 0.500
2 Sr 0.000 0.000 0.500
3 Sc 0.000 0.500 0.000
4 Sc 0.500 0.000 0.000
5 O 0.000 0.000 0.000

Calculated values
* spin magnetization: 0.05 μB/cell
* E: -5.83 eV per atom
* N(E_F): 4.88 states/eV/f.u.
* raw formation energy: -1226.1 meV per atom

[19]
Density functional theory data (PBE-GGA) for a relaxed Hf2Ti7NbPb2 crystal.

a b c (Å): 3.880 3.880 16.033
angles (deg): 83.06 83.06 90.00
Element x y z (fractional)
1 Hf 0.677 0.677 0.646
2 Hf 0.323 0.323 0.354
3 Ti 0.500 0.500 0.000
4 Ti 0.232 0.232 0.537
5 Ti 0.768 0.768 0.463
6 Ti 0.930 0.430 0.140
7 Ti 0.430 0.930 0.140
8 Ti 0.570 0.070 0.860
9 Ti 0.070 0.570 0.860
10 Nb 0.000 0.000 0.000
11 Pb 0.861 0.861 0.279
12 Pb 0.139 0.139 0.721

Calculated values
* spin magnetization: 0.00 μB/cell
* energy relative to the elements: 0.06 eV per atom
* E: -7.66 eV per atom
* N(E_F): 15.39 states/eV/f.u.

[20]
Density functional theory data (PBE-GGA) for a relaxed Cd5Si2N6 crystal.

a b c (Å): 5.598 5.598 13.704
angles (deg): 88.90 88.90 64.74
Element x y z (fractional)
1 Cd 0.375 0.625 0.750
2 Cd 0.625 0.375 0.250
3 Cd 0.187 0.680 0.981
4 Cd 0.320 0.813 0.519
5 Cd 0.813 0.320 0.019
6 Cd 0.680 0.187 0.481
7 Cd 0.770 0.942 0.700
8 Cd 0.058 0.230 0.800
9 Cd 0.230 0.058 0.300
10 Cd 0.942 0.770 0.200
11 Si 0.027 0.396 0.585
12 Si 0.604 0.973 0.915
13 Si 0.973 0.604 0.415
14 Si 0.396 0.027 0.085
15 N 0.095 0.509 0.694
16 N 0.491 0.905 0.806
17 N 0.905 0.491 0.306
18 N 0.509 0.095 0.194
19 N 0.755 0.631 0.516
20 N 0.369 0.245 0.984
21 N 0.245 0.369 0.484
22 N 0.631 0.755 0.016
23 N 0.984 0.110 0.608
24 N 0.890 0.016 0.892
25 N 0.016 0.890 0.392
26 N 0.110 0.984 0.108

Calculated values
* spin magnetization: 0.00 μB/cell
* E: -5.01 eV per atom
* N(E_F): 0.44 states/eV/f.u.
* raw formation energy: 17.1 meV per atom